Record 1
A relaxed CaZr2Ni crystal. Source: Alexandria via LeMat-Bulk, functional PBE.

## Properties
E_form: 39 kJ/mol of atoms

```
CaZr2Ni
1.0
4.331 0.000 0.000
0.000 4.331 0.000
0.000 0.000 9.094
Ca Zr Ni
2 4 2
direct
0.000 0.000 0.000 Ca
0.500 0.500 0.500 Ca
0.000 0.000 0.500 Zr
0.000 0.500 0.250 Zr
0.500 0.000 0.750 Zr
0.500 0.500 0.000 Zr
0.000 0.500 0.750 Ni
0.500 0.000 0.250 Ni
```



Record 2
A relaxed NdEuGdGa crystal. Source: Alexandria via LeMat-Bulk, functional PBE.

## Properties
E_form: -10 kJ/mol of atoms

```
NdEuGdGa
1.0
7.699 0.000 0.000
0.000 7.699 0.000
0.000 0.000 7.699
Nd Eu Gd Ga
4 4 4 4
direct
0.000 0.000 0.000 Nd
0.000 0.500 0.500 Nd
0.500 0.000 0.500 Nd
0.500 0.500 0.000 Nd
0.250 0.250 0.250 Eu
0.250 0.750 0.750 Eu
0.750 0.250 0.750 Eu
0.750 0.750 0.250 Eu
0.000 0.000 0.500 Gd
0.000 0.500 0.000 Gd
0.500 0.000 0.000 Gd
0.500 0.500 0.500 Gd
0.250 0.250 0.750 Ga
0.250 0.750 0.250 Ga
0.750 0.250 0.250 Ga
0.750 0.750 0.750 Ga
```



Record 3
A relaxed TiNbTeSe2 crystal. Source: Alexandria via LeMat-Bulk, functional PBE.

## Properties
Formation energy from raw total energies: 0.27 eV/atom

```
TiNbTeSe2
1.0
4.885 0.000 0.000
0.000 4.885 0.000
0.000 0.000 5.422
Ti Nb Te Se
1 1 1 2
direct
0.000 0.000 0.000 Ti
0.000 0.000 0.500 Nb
0.500 0.500 0.000 Te
0.000 0.500 0.500 Se
0.500 0.000 0.500 Se
```



Record 4
A relaxed Pm4Pr3Pt4 crystal. Source: Alexandria via LeMat-Bulk, functional PBE.

## Properties
E_form: -77 kJ/mol of atoms

```
Pm4Pr3Pt4
1.0
-2.370 3.941 8.005
2.370 -3.941 8.005
2.370 3.941 -8.005
Pm Pr Pt
4 3 4
direct
0.046 0.830 0.215 Pm
0.385 0.170 0.215 Pm
0.615 0.830 0.785 Pm
0.954 0.170 0.785 Pm
0.000 0.500 0.500 Pr
0.401 0.401 0.000 Pr
0.599 0.599 0.000 Pr
0.206 0.706 0.500 Pt
0.316 0.000 0.316 Pt
0.684 0.000 0.684 Pt
0.794 0.294 0.500 Pt
```



Record 5
A relaxed KNiTe4 crystal. Source: Alexandria via LeMat-Bulk, functional PBE.

## Properties
Formation energy from raw total energies: 0.40 eV/atom

```
KNiTe4
1.0
0.000 4.569 4.569
4.569 0.000 4.569
4.569 4.569 0.000
K Ni Te
1 1 4
direct
0.000 0.000 0.000 K
0.750 0.750 0.750 Ni
0.376 0.376 0.376 Te
0.376 0.376 0.871 Te
0.376 0.871 0.376 Te
0.871 0.376 0.376 Te
```



Record 6
A relaxed Sm3HoNi crystal. Source: Alexandria via LeMat-Bulk, functional PBE.

## Properties
E_form: -14 kJ/mol of atoms

```
Sm3HoNi
1.0
6.105 -1.838 0.000
6.105 1.838 0.000
-6.054 0.000 12.618
Sm Ho Ni
6 2 2
direct
0.000 0.000 0.000 Sm
0.045 0.045 0.595 Sm
0.264 0.264 0.477 Sm
0.621 0.621 0.841 Sm
0.695 0.695 0.238 Sm
0.830 0.830 0.720 Sm
0.315 0.315 0.082 Ho
0.480 0.480 0.352 Ho
0.320 0.320 0.871 Ni
0.989 0.989 0.208 Ni
```



Record 7
A relaxed Er3Pb crystal. Source: Alexandria via LeMat-Bulk, functional PBE.

## Properties
E_form: -25 kJ/mol of atoms

```
Er3Pb
1.0
4.650 0.000 0.000
0.000 4.650 0.000
0.000 0.000 10.531
Er Pb
6 2
direct
0.000 0.000 0.000 Er
0.000 0.500 0.250 Er
0.000 0.500 0.750 Er
0.500 0.000 0.250 Er
0.500 0.000 0.750 Er
0.500 0.500 0.500 Er
0.000 0.000 0.500 Pb
0.500 0.500 0.000 Pb
```



Record 8
A relaxed NaRh2Br2 crystal. Source: Alexandria via LeMat-Bulk, functional PBE.

## Properties
Formation energy from raw total energies: -0.03 eV/atom

```
NaRh2Br2
1.0
3.664 0.000 0.000
0.000 3.664 0.000
0.000 0.000 16.232
Na Rh Br
2 4 4
direct
0.000 0.000 0.000 Na
0.500 0.500 0.500 Na
0.000 0.500 0.250 Rh
0.000 0.500 0.750 Rh
0.500 0.000 0.250 Rh
0.500 0.000 0.750 Rh
0.000 0.000 0.392 Br
0.000 0.000 0.608 Br
0.500 0.500 0.108 Br
0.500 0.500 0.892 Br
```



Record 9
A relaxed KNa2TlGe crystal. Source: Alexandria via LeMat-Bulk, functional PBE.

## Properties
E_form: -1 kJ/mol of atoms

```
KNa2TlGe
1.0
5.732 0.000 0.000
0.000 5.732 0.000
0.000 0.000 5.657
K Na Tl Ge
1 2 1 1
direct
0.000 0.000 0.000 K
0.000 0.500 0.500 Na
0.500 0.000 0.500 Na
0.500 0.500 0.000 Tl
0.500 0.500 0.500 Ge
```



Record 10
A relaxed LaNd3Dy2As6 crystal. Source: Alexandria via LeMat-Bulk, functional PBE.

## Properties
E_form: -147 kJ/mol of atoms

```
LaNd3Dy2As6
1.0
3.673 -6.361 0.000
3.673 6.361 0.000
-2.449 0.000 6.926
La Nd Dy As
1 3 2 6
direct
0.000 0.000 0.000 La
0.165 0.835 0.500 Nd
0.500 0.500 0.500 Nd
0.835 0.165 0.500 Nd
0.333 0.667 0.000 Dy
0.667 0.333 0.000 Dy
0.082 0.422 0.246 As
0.259 0.259 0.756 As
0.422 0.082 0.246 As
0.578 0.918 0.754 As
0.741 0.741 0.244 As
0.918 0.578 0.754 As
```



Record 11
A relaxed LiDyScBe crystal. Source: Alexandria via LeMat-Bulk, functional PBE.

## Properties
E_form: 12 kJ/mol of atoms

```
LiDyScBe
1.0
6.828 0.000 0.000
0.000 6.828 0.000
0.000 0.000 6.828
Li Dy Sc Be
4 4 4 4
direct
0.000 0.000 0.000 Li
0.000 0.500 0.500 Li
0.500 0.000 0.500 Li
0.500 0.500 0.000 Li
0.250 0.250 0.250 Dy
0.250 0.750 0.750 Dy
0.750 0.250 0.750 Dy
0.750 0.750 0.250 Dy
0.250 0.250 0.750 Sc
0.250 0.750 0.250 Sc
0.750 0.250 0.250 Sc
0.750 0.750 0.750 Sc
0.000 0.000 0.500 Be
0.000 0.500 0.000 Be
0.500 0.000 0.000 Be
0.500 0.500 0.500 Be
```



Record 12
A relaxed AcZn2Pt crystal. Source: Alexandria via LeMat-Bulk, functional PBE.

## Properties
E_form: -56 kJ/mol of atoms

```
AcZn2Pt
1.0
4.395 0.000 0.000
-2.198 3.806 0.000
0.000 0.000 16.187
Ac Zn Pt
3 6 3
direct
0.000 0.000 0.000 Ac
0.333 0.667 0.667 Ac
0.667 0.333 0.333 Ac
0.000 0.000 0.204 Zn
0.000 0.000 0.796 Zn
0.333 0.667 0.462 Zn
0.333 0.667 0.871 Zn
0.667 0.333 0.129 Zn
0.667 0.333 0.538 Zn
0.000 0.000 0.500 Pt
0.333 0.667 0.167 Pt
0.667 0.333 0.833 Pt
```